Entry i
# VCdHgSb2

A relaxed structure of VCdHgSb2 (GGA-PBE, Alexandria via LeMat-Bulk).

## Properties
- density of states at the Fermi level (states/eV/f.u.) = 2.6
- V (Å³/f.u.) = 139.8

Unit cell a=5.107 b=5.361 c=5.107 alpha=90.00 beta=90.00 gamma=90.00
Atoms (fractional coordinates):
Sb  0.000  0.000  0.500
Sb  0.500  0.000  0.000
V  0.000  0.000  0.000
Hg  0.000  0.500  0.000
Cd  0.500  0.500  0.500

---

Entry ii
# VCdHgSb2

A relaxed structure of VCdHgSb2 (GGA-PBE, Alexandria via LeMat-Bulk).

## Properties
- density of states at the Fermi level (states/eV/f.u.) = 7.5
- V (Å³/f.u.) = 156.3

Unit cell a=5.524 b=5.121 c=5.524 alpha=90.00 beta=90.00 gamma=90.00
Each line ends with the local moment (μB).
Atoms (fractional coordinates):
Sb  0.000  0.000  0.500  0.00
Sb  0.500  0.000  0.000  0.02
V  0.000  0.500  0.000  0.05
Hg  0.000  0.000  0.000  0.00
Cd  0.500  0.500  0.500  0.00

---

Of them, the most stable is entry i and the least stable is entry ii.

---

Entry i
# Sc2CdHg

A relaxed structure of Sc2CdHg (GGA-PBE, Alexandria via LeMat-Bulk).

## Properties
- density of states at the Fermi level (states/eV/f.u.) = 3.6
- V (Å³/f.u.) = 95.3

Unit cell a=9.817 b=9.817 c=9.817 alpha=19.84 beta=19.84 gamma=19.84
Each line ends with the local moment (μB).
Atoms (fractional coordinates):
Cd  0.499  0.499  0.499  0.00
Hg  0.749  0.749  0.749  0.00
Sc  0.004  0.004  0.004  0.29
Sc  0.248  0.248  0.248  0.27

---

Entry ii
# Sc2CdHg

A relaxed structure of Sc2CdHg (GGA-PBE, Alexandria via LeMat-Bulk).

## Properties
- density of states at the Fermi level (states/eV/f.u.) = 5.3
- V (Å³/f.u.) = 89.5

Unit cell a=6.029 b=6.029 c=6.029 alpha=146.85 beta=131.06 gamma=60.39
Each line ends with the local moment (μB).
Atoms (fractional coordinates):
Cd  0.487  0.487  0.000  0.01
Hg  0.256  0.756  0.500  0.01
Sc  0.012  0.012  0.000  0.12
Sc  0.745  0.245  0.500  0.13

---

Entry iii
# Sc2CdHg

A relaxed structure of Sc2CdHg (GGA-PBE, Alexandria via LeMat-Bulk).

## Properties
- density of states at the Fermi level (states/eV/f.u.) = 3.5
- V (Å³/f.u.) = 89.6

Unit cell a=3.704 b=3.706 c=6.527 alpha=90.00 beta=90.00 gamma=90.00
Each line ends with the local moment (μB).
Atoms (fractional coordinates):
Cd  0.000  0.000  0.493  0.00
Hg  0.500  0.500  0.760  0.00
Sc  0.000  0.000  0.987  0.20
Sc  0.500  0.500  0.260  0.18

---

Entry iv
# Sc2CdHg

A relaxed structure of Sc2CdHg (GGA-PBE, Alexandria via LeMat-Bulk).

## Properties
- density of states at the Fermi level (states/eV/f.u.) = 3.7
- V (Å³/f.u.) = 87.8

Unit cell a=4.988 b=4.988 c=4.988 alpha=60.00 beta=60.00 gamma=60.00
Atoms (fractional coordinates):
Sc  0.250  0.250  0.250
Sc  0.750  0.750  0.750
Hg  0.500  0.500  0.500
Cd  0.000  0.000  0.000

---

Of them, the most stable is entry iv and the least stable is entry i.

---

Entry i
# ScCd6Hg

A relaxed structure of ScCd6Hg (GGA-PBE, Alexandria via LeMat-Bulk).

## Properties
- density of states at the Fermi level (states/eV/f.u.) = 3.2
- V (Å³/f.u.) = 180.3

Unit cell a=4.583 b=6.326 c=6.326 alpha=79.44 beta=90.00 gamma=90.00
Atoms (fractional coordinates):
Sc  0.500  0.000  0.000
Cd  0.000  0.730  0.270
Cd  0.000  0.270  0.730
Cd  0.000  0.782  0.782
Cd  0.000  0.218  0.218
Cd  0.500  0.500  0.000
Cd  0.500  0.000  0.500
Hg  0.500  0.500  0.500

---

Entry ii
# ScCd6Hg

A relaxed structure of ScCd6Hg (GGA-PBE, Alexandria via LeMat-Bulk).

## Properties
- density of states at the Fermi level (states/eV/f.u.) = 3.8
- V (Å³/f.u.) = 189.0

Unit cell a=7.705 b=8.614 c=6.395 alpha=42.04 beta=42.87 gamma=50.19
Atoms (fractional coordinates):
Sc  0.500  0.500  0.500
Cd  0.971  0.447  0.840
Cd  0.745  0.942  0.724
Cd  0.451  0.269  0.330
Cd  0.255  0.058  0.276
Cd  0.029  0.553  0.160
Cd  0.549  0.731  0.670
Hg  0.000  0.000  0.000

---

Of them, the most stable is entry i and the least stable is entry ii.

---

Entry i
# ScCd6Hg8

A relaxed structure of ScCd6Hg8 (GGA-PBE, Alexandria via LeMat-Bulk).

## Properties
- density of states at the Fermi level (states/eV/f.u.) = 6.1
- V (Å³/f.u.) = 383.3

Unit cell a=7.278 b=7.278 c=7.278 alpha=86.48 beta=86.48 gamma=86.48
Atoms (fractional coordinates):
Sc  0.000  0.000  0.000
Cd  0.539  0.437  0.801
Cd  0.437  0.801  0.539
Cd  0.801  0.539  0.437
Cd  0.461  0.563  0.199
Cd  0.563  0.199  0.461
Cd  0.199  0.461  0.563
Hg  0.779  0.779  0.779
Hg  0.221  0.221  0.221
Hg  0.634  0.936  0.166
Hg  0.936  0.166  0.634
Hg  0.166  0.634  0.936
Hg  0.366  0.064  0.834
Hg  0.064  0.834  0.366
Hg  0.834  0.366  0.064

---

Entry ii
# ScCd6Hg8

A relaxed structure of ScCd6Hg8 (GGA-PBE, Alexandria via LeMat-Bulk).

## Properties
- density of states at the Fermi level (states/eV/f.u.) = 6.5
- V (Å³/f.u.) = 440.7

Unit cell a=8.853 b=8.853 c=8.853 alpha=55.61 beta=55.61 gamma=55.61
Atoms (fractional coordinates):
Sc  0.000  0.000  0.000
Cd  0.600  0.240  0.241
Cd  0.241  0.600  0.240
Cd  0.240  0.241  0.600
Cd  0.400  0.760  0.759
Cd  0.759  0.400  0.760
Cd  0.760  0.759  0.400
Hg  0.233  0.233  0.233
Hg  0.767  0.767  0.767
Hg  0.977  0.363  0.979
Hg  0.979  0.977  0.363
Hg  0.363  0.979  0.977
Hg  0.023  0.637  0.021
Hg  0.021  0.023  0.637
Hg  0.637  0.021  0.023

---

Of them, the most stable is entry i and the least stable is entry ii.

---

Entry i
# Sc2CdHg2

A relaxed structure of Sc2CdHg2 (GGA-PBE, Alexandria via LeMat-Bulk).

## Properties
- density of states at the Fermi level (states/eV/f.u.) = 2.8
- V (Å³/f.u.) = 112.3

Unit cell a=7.801 b=7.801 c=3.691 alpha=90.00 beta=90.00 gamma=90.00
Atoms (fractional coordinates):
Sc  0.165  0.665  0.500
Sc  0.665  0.835  0.500
Sc  0.835  0.335  0.500
Sc  0.335  0.165  0.500
Hg  0.366  0.866  0.000
Hg  0.866  0.634  0.000
Hg  0.634  0.134  0.000
Hg  0.134  0.366  0.000
Cd  0.000  0.000  0.000
Cd  0.500  0.500  0.000

---

Entry ii
# Sc2CdHg2

A relaxed structure of Sc2CdHg2 (GGA-PBE, Alexandria via LeMat-Bulk).

## Properties
- density of states at the Fermi level (states/eV/f.u.) = 4.6
- V (Å³/f.u.) = 126.3

Unit cell a=4.439 b=4.439 c=7.134 alpha=71.87 beta=71.87 gamma=90.00
Each line ends with the local moment (μB).
Atoms (fractional coordinates):
Sc  0.750  0.250  0.500  0.35
Sc  0.250  0.750  0.500  0.35
Hg  0.394  0.394  0.212  0.02
Hg  0.606  0.606  0.788  0.02
Cd  0.000  0.000  0.000  0.00

---

Of them, the most stable is entry i and the least stable is entry ii.

---

Entry i
# Sc2Cd2Hg

A relaxed structure of Sc2Cd2Hg (GGA-PBE, Alexandria via LeMat-Bulk).

## Properties
- density of states at the Fermi level (states/eV/f.u.) = 5.1
- V (Å³/f.u.) = 113.6

Unit cell a=3.235 b=3.227 c=10.997 alpha=81.56 beta=90.00 gamma=90.00
Each line ends with the local moment (μB).
Atoms (fractional coordinates):
Sc  0.500  0.407  0.186  0.15
Sc  0.500  0.593  0.814  0.15
Cd  0.000  0.191  0.617  0.00
Cd  0.000  0.809  0.383  0.00
Hg  0.000  0.000  0.000  0.00

---

Entry ii
# Sc2Cd2Hg

A relaxed structure of Sc2Cd2Hg (GGA-PBE, Alexandria via LeMat-Bulk).

## Properties
- density of states at the Fermi level (states/eV/f.u.) = 5.8
- V (Å³/f.u.) = 123.8

Unit cell a=3.953 b=3.953 c=8.403 alpha=76.40 beta=76.40 gamma=90.00
Each line ends with the local moment (μB).
Atoms (fractional coordinates):
Sc  0.406  0.406  0.187  0.33
Sc  0.594  0.594  0.813  0.33
Hg  0.000  0.000  0.000  0.01
Cd  0.750  0.250  0.500  0.01
Cd  0.250  0.750  0.500  0.01

---

Of them, the most stable is entry i and the least stable is entry ii.